EuZnBiWO6, optimized geometry, DFT PBE with a Hubbard U; DOS at the Fermi energy = 15.346 states/eV per cell; space group = F-43m, No. 216; size of the total moment = 7.1 μB/cell; DFT total energy = -6.978 eV per atom; mass density = 8.9 Mg/m³
1.0
0.0000 4.0387 4.0387
4.0387 0.0000 4.0387
4.0387 4.0387 0.0000
Eu Zn Bi W O
1 1 1 1 6
Cartesian
0.0000 0.0000 0.0000 Eu
6.0580 6.0580 6.0580 Zn
4.0387 4.0387 4.0387 Bi
2.0193 2.0193 2.0193 W
2.0193 2.0193 0.0636 O
2.0193 0.0636 2.0193 O
3.9750 2.0193 2.0193 O
0.0636 2.0193 2.0193 O
2.0193 3.9750 2.0193 O
2.0193 2.0193 3.9750 O